Record 1
Entry from the Alexandria database: a relaxed structure of BaPrSm2Se4 (PBE).

a b c (Å): 4.2671 7.5185 7.4808
angles (deg): 71.20 90.00 90.00
Last column: nearest neighbours and their distance in Å.
Sites, in units of the cell vectors:
Sm1 0.0000 0.0000 0.0000  6 Se 3.02
Sm2 0.5000 0.0000 0.5000  6 Se 2.93-2.94
Se1 0.0000 0.7723 0.7335  3 Sm 2.93-3.02, 1 Pr 3.09, 2 Ba 3.18
Se2 0.5000 0.2352 0.7465  3 Sm 2.94-3.02, 2 Pr 3.09, 1 Ba 3.16
Se3 0.0000 0.2277 0.2665  3 Sm 2.93-3.02, 1 Pr 3.09, 2 Ba 3.18
Se4 0.5000 0.7648 0.2535  3 Sm 2.94-3.02, 2 Pr 3.09, 1 Ba 3.16
Ba1 0.5000 0.5000 0.0000  6 Se 3.16-3.18
Pr1 0.0000 0.5000 0.5000  6 Se 3.09

Properties
- DOS at the Fermi energy: 3.33 states/eV per cell
- E_form (uncorrected): -1840 meV per atom

=====

Record 2
Entry from the Alexandria database: a relaxed structure of BaPrSm4Se8 (PBE).

a b c (Å): 8.7642 8.7642 8.8197
angles (deg): 60.21 60.21 60.00
Last column: nearest neighbours and their distance in Å.
Sites, in units of the cell vectors:
Sm1 0.0014 0.0014 0.5016  6 Se 2.89-3.04
Sm2 0.4957 0.0014 0.5016  6 Se 2.89-3.04
Sm3 0.6253 0.6253 0.1241  4 Se 2.83-2.86
Sm4 0.0014 0.4957 0.5016  6 Se 2.89-3.04
Se1 0.2332 0.2332 0.3004  3 Sm 2.89, 1 Ba 3.04
Se2 0.2373 0.7971 0.7283  2 Sm 2.89, 1 Pr 2.94, 1 Ba 3.04
Se3 0.7971 0.2373 0.7283  2 Sm 2.89, 1 Pr 2.94, 1 Ba 3.04
Se4 0.7546 0.7546 0.2611  3 Sm 2.83-3.03, 1 Pr 3.08
Se5 0.2373 0.2373 0.7283  2 Sm 2.89, 1 Pr 2.94, 1 Ba 3.04
Se6 0.7573 0.7573 0.7280  4 Sm 2.86-3.04
Se7 0.2297 0.7546 0.2611  3 Sm 2.83-3.03, 1 Pr 3.08
Se8 0.7546 0.2297 0.2611  3 Sm 2.83-3.03, 1 Pr 3.08
Pr1 0.0018 0.0018 0.9947  6 Se 2.94-3.08
Ba1 0.3735 0.3735 0.8795  4 Se 3.04

Properties
- DOS at the Fermi energy: 4.07 states/eV per cell
- E_form (uncorrected): -1790 meV per atom

=====

Record 3
Entry from the Alexandria database: a relaxed structure of Ba2PrSmSe4 (PBE).

a b c (Å): 4.3912 7.5910 7.8601
angles (deg): 108.85 90.00 90.00
Last column: nearest neighbours and their distance in Å.
Sites, in units of the cell vectors:
Se1 0.5000 0.7635 0.7795  2 Sm 3.01, 1 Pr 3.04, 3 Ba 3.26-3.29
Se2 0.0000 0.2548 0.7772  1 Sm 3.00, 2 Pr 3.04, 3 Ba 3.25-3.29
Se3 0.0000 0.7452 0.2228  1 Sm 3.00, 2 Pr 3.04, 3 Ba 3.25-3.29
Se4 0.5000 0.2365 0.2205  2 Sm 3.01, 1 Pr 3.04, 3 Ba 3.26-3.29
Pr1 0.5000 0.5000 0.0000  6 Se 3.04
Sm1 0.0000 0.0000 0.0000  6 Se 3.00-3.01
Ba1 0.5000 0.0000 0.5000  6 Se 3.25-3.26
Ba2 0.0000 0.5000 0.5000  6 Se 3.29

Properties
- DOS at the Fermi energy: 3.80 states/eV per cell
- E_form (uncorrected): -1912 meV per atom